Computed, not measured: an optimized crystal structure of LaEuMnZn at the PBE level of DFT.

Geometry as extended XYZ:
```
4
Lattice="-2.0921 1.0433 -4.7267 -0.6285 -3.8767 -3.5190 -4.8395 -1.7296 -1.1812" Properties=species:S:1:pos:R:3 pbc="T T T"
Eu -3.7801 -2.2815 -4.7135
Zn -5.6701 -3.4222 -7.0702
La 0.0000 0.0000 0.0000
Mn -1.8900 -1.1407 -2.3567
```

Values from the calculation:
E = -6.371 eV per atom